Hf3FeF | Alexandria | PBE with a Hubbard U | optimized geometry; crystal system = cubic; DFT total energy = -7.581 eV per atom; magnetic moment = 3.26 μB/cell
1.0
4.483 0.000 0.000
0.000 4.483 0.000
0.000 0.000 4.483
Hf F Fe
3 1 1
Cartesian
2.242 0.000 0.000
0.000 2.242 0.000
0.000 0.000 2.242
0.000 0.000 0.000
2.242 2.242 2.242